[1]
First-principles (PBE-GGA) data for TlZnTeF after structural relaxation, as listed in the Open Quantum Materials Database.

Cell lengths 3.989, 3.989, 13.302 Å; angles 90.00, 90.00, 90.00 degrees
Atoms (fractional coordinates):
Zn 0.000 0.500 0.581
Zn 0.500 0.000 0.419
Te 0.000 0.500 0.379
Te 0.500 0.000 0.621
Tl 0.500 0.000 0.887
Tl 0.000 0.500 0.113
F 0.000 0.000 0.000
F 0.500 0.500 0.000

Properties
For the polymorph energy (0 for the lowest one), the calculation gives 0.53 eV/f.u.

[2]
First-principles (PBE-GGA) data for KNb3Sn5 after structural relaxation, as listed in the Open Quantum Materials Database.

Cell lengths 5.923, 5.923, 7.520 Å; angles 90.00, 90.00, 120.00 degrees
Atoms (fractional coordinates):
Sn 0.333 0.667 0.192
Sn 0.667 0.333 0.808
Sn 0.000 0.000 0.500
Sn 0.667 0.333 0.192
Sn 0.333 0.667 0.808
Nb 0.000 0.500 0.500
Nb 0.500 0.500 0.500
Nb 0.500 0.000 0.500
K 0.000 0.000 0.000

Properties
For the magnetic moment, the calculation gives 0.00 μB per cell. Its raw total energy is -52.5 eV per cell.

[3]
First-principles (PBE-GGA) data for PrNdGe2Au4 after structural relaxation, as listed in the Open Quantum Materials Database.

Cell lengths 4.628, 4.628, 9.620 Å; angles 90.00, 90.00, 120.00 degrees
Atoms (fractional coordinates):
Au 0.333 0.667 0.843
Au 0.000 0.000 0.341
Au 0.333 0.667 0.157
Au 0.000 0.000 0.659
Ge 0.667 0.333 0.750
Ge 0.667 0.333 0.250
Nd 0.000 0.000 0.000
Pr 0.333 0.667 0.500

Properties
For the magnetic moment, the calculation gives 0.00 μB per cell. Its raw total energy is -36.7 eV per cell.

[4]
First-principles (PBE-GGA) data for KSmNO after structural relaxation, as listed in the Open Quantum Materials Database.

Cell lengths 3.970, 3.970, 8.874 Å; angles 90.00, 90.00, 90.00 degrees
Atoms (fractional coordinates):
K 0.000 0.000 0.500
K 0.500 0.500 0.500
N 0.500 0.000 0.294
N 0.000 0.500 0.706
Sm 0.000 0.500 0.130
Sm 0.500 0.000 0.870
O 0.000 0.000 0.000
O 0.500 0.500 0.000

Properties
For the magnetic moment, the calculation gives 2.00 μB per cell. For the polymorph energy (0 for the lowest one), the calculation gives 1.33 eV/f.u.

[5]
First-principles (PBE-GGA) data for DyNbI2O2 after structural relaxation, as listed in the Open Quantum Materials Database.

Cell lengths 3.807, 3.807, 9.131 Å; angles 90.00, 90.00, 90.00 degrees
Atoms (fractional coordinates):
I 0.500 0.500 0.329
I 0.000 0.000 0.687
O 0.500 0.000 0.993
O 0.000 0.500 0.993
Dy 0.000 0.000 0.119
Nb 0.500 0.500 0.879

Properties
For the magnetic moment, the calculation gives 1.41 μB per cell. Its raw total energy is -38.8 eV per cell.

[6]
First-principles (PBE-GGA) data for Cu6Ag6Sb4Te12S after structural relaxation, as listed in the Open Quantum Materials Database.

Cell lengths 10.241, 10.241, 10.241 Å; angles 109.47, 109.47, 109.47 degrees
Atoms (fractional coordinates):
Te 0.250 0.000 0.494
Te 0.750 0.244 0.750
Te 0.494 0.000 0.250
Te 0.000 0.250 0.494
Te 0.000 0.494 0.250
Te 0.494 0.250 0.000
Te 0.244 0.750 0.750
Te 0.506 0.506 0.756
Te 0.250 0.494 0.000
Te 0.756 0.506 0.506
Te 0.506 0.756 0.506
Te 0.750 0.750 0.244
Cu 0.500 0.250 0.750
Cu 0.250 0.500 0.750
Cu 0.750 0.500 0.250
Cu 0.500 0.750 0.250
Cu 0.750 0.250 0.500
Cu 0.250 0.750 0.500
Sb 0.000 0.000 0.557
Sb 0.000 0.557 0.000
Sb 0.443 0.443 0.443
Sb 0.557 0.000 0.000
Ag 0.787 0.787 0.000
Ag 0.000 0.213 0.213
Ag 0.787 0.000 0.787
Ag 0.213 0.213 0.000
Ag 0.213 0.000 0.213
Ag 0.000 0.787 0.787
S 0.000 0.000 0.000

Properties
For the polymorph energy (0 for the lowest one), the calculation gives 0.00 eV/f.u.

[7]
First-principles (PBE-GGA) data for Gd2HoFe7Ni2 after structural relaxation, as listed in the Open Quantum Materials Database.

Cell lengths 8.754, 8.754, 8.754 Å; angles 33.08, 33.08, 33.08 degrees
Atoms (fractional coordinates):
Fe 0.419 0.419 0.917
Fe 0.917 0.419 0.419
Fe 0.581 0.581 0.083
Fe 0.500 0.500 0.500
Fe 0.581 0.083 0.581
Fe 0.419 0.917 0.419
Fe 0.083 0.581 0.581
Ni 0.668 0.668 0.668
Ni 0.332 0.332 0.332
Gd 0.859 0.859 0.859
Gd 0.141 0.141 0.141
Ho 0.000 0.000 0.000

Properties
For the magnetic moment, the calculation gives 14.38 μB per cell. Its raw total energy is -84.4 eV per cell.

[8]
First-principles (PBE-GGA) data for DyScW after structural relaxation, as listed in the Open Quantum Materials Database.

Cell lengths 4.713, 4.713, 4.713 Å; angles 60.00, 60.00, 60.00 degrees
Atoms (fractional coordinates):
Dy 0.250 0.250 0.250
W 0.750 0.750 0.750
Sc 0.000 0.000 0.000

Properties
For the magnetic moment, the calculation gives 1.56 μB per cell. For the polymorph energy (0 for the lowest one), the calculation gives 0.00 eV/f.u.